Entry 1:
A relaxed HfS3O crystal, computed with PBE.

The value obtained for the formation energy from raw total energies is 0.08 eV/atom. As for the magnetization: 0.00 Bohr magnetons per cell.

It has space group Pm-3m (No. 221), with a = 4.2151 Å, b = 4.2151 Å, c = 4.2151 Å, α = 90.00°, β = 90.00° and γ = 90.00°. Symmetry generates all atoms from Hf at (0.0000, 0.0000, 0.0000), S at (0.0000, 0.5000, 0.5000) and O at (0.5000, 0.5000, 0.5000).



Entry 2:
A relaxed PmZr2TaN4 crystal, computed with PBE.

The value obtained for the formation energy from raw total energies is -1.25 eV/atom. As for the magnetization: 0.00 Bohr magnetons per cell.

It has space group Cmcm (No. 63), with a = 3.2658 Å, b = 11.7162 Å, c = 11.6275 Å, α = 90.00°, β = 90.00° and γ = 90.00°. Symmetry generates all atoms from Pm at (0.0000, 0.1141, 0.2500), Zr at (0.0000, 0.3697, 0.0310), Ta at (0.0000, 0.1494, 0.7500), N at (0.0000, 0.0000, 0.0000), N at (0.0000, 0.2594, 0.6176) and N at (0.0000, 0.4600, 0.2500).



Entry 3:
A relaxed Cs3UI2Cl6 crystal, computed with PBE.

The value obtained for the formation energy from raw total energies is -1.69 eV/atom. As for the magnetization: 1.95 Bohr magnetons per cell.

It has space group C2/m (No. 12), with a = 18.9032 Å, b = 9.7699 Å, c = 5.9889 Å, α = 90.00°, β = 91.14° and γ = 90.00°. Symmetry generates all atoms from Cs at (0.0000, 0.0000, 0.0000), Cs at (0.2500, 0.2500, 0.5000), U at (0.0000, 0.5000, 0.5000), I at (0.1981, 0.0000, 0.9807), Cl at (0.0597, 0.3124, 0.2748) and Cl at (0.1078, 0.5000, 0.7541).



Entry 4:
A relaxed MgZrAl crystal, computed with PBE.

As for the magnetization: 0.00 Bohr magnetons per cell. For the formation energy, the calculation gives 0.40 eV per atom.

It has space group F-43m (No. 216), with a = 6.4582 Å, b = 6.4582 Å, c = 6.4582 Å, α = 90.00°, β = 90.00° and γ = 90.00°. Symmetry generates all atoms from Mg at (0.0000, 0.0000, 0.0000), Zr at (0.2500, 0.2500, 0.2500) and Al at (0.2500, 0.2500, 0.7500).



So what do the calculations give for raw total energy? Going down the list: -5.38 -9.63 -4.03 -4.22 eV per atom.